Run P
VASP calculation (GGA-PBE) on an optimized crystal structure of Pu2BiPd2.

Calculated values
Density = 12857 kg/m3
D(E_F) = 44.4 states/eV/cell

a b c (Å): 3.923 7.739 7.739
angles (deg): 90.00 90.00 90.00
Element x y z (fractional)
Pu  0.000  0.676  0.324
Pu  0.000  0.824  0.824
Pu  0.000  0.176  0.176
Pu  0.000  0.324  0.676
Bi  0.500  0.500  0.000
Bi  0.500  0.000  0.500
Pd  0.500  0.375  0.375
Pd  0.500  0.875  0.125
Pd  0.500  0.125  0.875
Pd  0.500  0.625  0.625



Run Q
VASP calculation (GGA-PBE) on an optimized crystal structure of Pu2BiPd2.

Calculated values
Density = 13702 kg/m3
D(E_F) = 15.9 states/eV/cell

a b c (Å): 4.925 4.925 5.970
angles (deg): 65.64 65.64 60.00
Element x y z (fractional)
Pu  0.711  0.711  0.868
Pu  0.289  0.289  0.132
Bi  0.500  0.500  0.500
Pd  0.911  0.911  0.266
Pd  0.089  0.089  0.734



Stability verdict: run P, ahead by 27 meV/atom



Run P
VASP calculation (GGA-PBE) on an optimized crystal structure of RbBiPd3.

Calculated values
Density = 8477 kg/m3
D(E_F) = 4.9 states/eV/cell

a b c (Å): 6.599 6.409 6.493
angles (deg): 90.00 118.87 90.00
Element x y z (fractional)
Rb  0.769  0.948  0.026
Rb  0.266  0.448  0.535
Bi  0.913  0.448  0.873
Bi  0.121  0.948  0.688
Pd  0.684  0.448  0.129
Pd  0.350  0.948  0.432
Pd  0.726  0.186  0.491
Pd  0.726  0.709  0.491
Pd  0.309  0.686  0.070
Pd  0.309  0.209  0.070



Run Q
VASP calculation (GGA-PBE) on an optimized crystal structure of RbBiPd3.

Calculated values
Density = 7508 kg/m3
D(E_F) = 3.3 states/eV/cell

a b c (Å): 5.139 5.139 5.139
angles (deg): 90.00 90.00 90.00
Element x y z (fractional)
Rb  0.000  0.000  0.000
Bi  0.500  0.500  0.500
Pd  0.000  0.500  0.000
Pd  0.000  0.000  0.500
Pd  0.500  0.000  0.000



Run R
VASP calculation (GGA-PBE) on an optimized crystal structure of RbBiPd3.

Calculated values
Density = 7031 kg/m3
D(E_F) = 3.9 states/eV/cell

a b c (Å): 5.253 5.253 5.253
angles (deg): 90.00 90.00 90.00
Element x y z (fractional)
Rb  0.500  0.500  0.500
Bi  0.000  0.000  0.000
Pd  0.000  0.500  0.000
Pd  0.000  0.000  0.500
Pd  0.500  0.000  0.000



Stability verdict: run P, ahead by 317 meV/atom